[1]
Here is a geometry-optimized DyEr3Sn3 structure from Alexandria via LeMat-Bulk. Energies are from GGA-PBE.

Calculated values
ΔE_f in eV/atom: -0.511
Size of the total moment in μB per formula unit: 0.00
Energy in eV/cell: -67.76
Crystal system: hexagonal

Cell: 5.413 9.025 9.025 Å, 120.00 90.00 90.00°
Atoms (fractional coordinates):
Er  0.250  0.768  0.762
Er  0.750  0.232  0.238
Er  0.250  0.993  0.232
Er  0.750  0.007  0.768
Er  0.750  0.762  0.993
Er  0.250  0.238  0.007
Dy  0.250  0.667  0.333
Dy  0.750  0.333  0.667
Sn  0.750  0.924  0.377
Sn  0.750  0.453  0.076
Sn  0.750  0.623  0.547
Sn  0.250  0.547  0.924
Sn  0.250  0.076  0.623
Sn  0.250  0.377  0.453

---

[2]
Here is a geometry-optimized Dy12Er7Sn structure from Alexandria via LeMat-Bulk. Energies are from GGA-PBE.

Calculated values
ΔE_f in eV/atom: 0.154
Size of the total moment in μB per formula unit: 0.00
Energy in eV/cell: -88.09
Crystal system: trigonal

Cell: 8.678 8.678 8.678 Å, 88.96 88.96 88.96°
Atoms (fractional coordinates):
Dy  0.875  0.658  0.530
Dy  0.530  0.875  0.658
Dy  0.664  0.112  0.992
Dy  0.658  0.530  0.875
Dy  0.342  0.470  0.125
Dy  0.112  0.992  0.664
Dy  0.125  0.342  0.470
Dy  0.336  0.888  0.008
Dy  0.888  0.008  0.336
Dy  0.470  0.125  0.342
Dy  0.008  0.336  0.888
Dy  0.992  0.664  0.112
Sn  0.000  0.000  0.000
Er  0.760  0.217  0.627
Er  0.783  0.373  0.240
Er  0.373  0.240  0.783
Er  0.240  0.783  0.373
Er  0.500  0.500  0.500
Er  0.627  0.760  0.217
Er  0.217  0.627  0.760

---

[3]
Here is a geometry-optimized DyErSn2 structure from Alexandria via LeMat-Bulk. Energies are from GGA-PBE.

Calculated values
ΔE_f in eV/atom: -0.612
Size of the total moment in μB per formula unit: 0.00
Energy in eV/cell: -19.62
Crystal system: tetragonal

Cell: 3.463 3.463 8.750 Å, 90.00 90.00 90.00°
Atoms (fractional coordinates):
Dy  0.500  0.500  0.500
Er  0.500  0.500  0.000
Sn  0.000  0.000  0.248
Sn  0.000  0.000  0.752

---

[4]
Here is a geometry-optimized Dy8Er6Sn structure from Alexandria via LeMat-Bulk. Energies are from GGA-PBE.

Calculated values
ΔE_f in eV/atom: 0.054
Size of the total moment in μB per formula unit: 0.00
Energy in eV/cell: -67.38
Crystal system: trigonal

Cell: 6.351 9.256 9.256 Å, 120.00 90.00 90.00°
Atoms (fractional coordinates):
Dy  0.815  0.733  0.774
Dy  0.815  0.226  0.959
Dy  0.813  0.333  0.667
Dy  0.187  0.667  0.333
Dy  0.815  0.041  0.267
Dy  0.185  0.267  0.226
Dy  0.185  0.959  0.733
Dy  0.185  0.774  0.041
Er  0.677  0.451  0.356
Er  0.677  0.905  0.549
Er  0.677  0.644  0.095
Er  0.323  0.549  0.644
Er  0.323  0.095  0.451
Er  0.323  0.356  0.905
Sn  0.500  0.000  0.000

---

[5]
Here is a geometry-optimized DyErSn2 structure from Alexandria via LeMat-Bulk. Energies are from GGA-PBE.

Calculated values
ΔE_f in eV/atom: -0.707
Size of the total moment in μB per formula unit: 0.00
Energy in eV/cell: -20.00
Crystal system: orthorhombic

Cell: 4.465 4.296 6.108 Å, 90.00 111.42 90.00°
Atoms (fractional coordinates):
Dy  0.449  0.500  0.437
Er  0.716  0.000  0.972
Sn  0.988  0.000  0.515
Sn  0.177  0.500  0.893

---

[6]
Here is a geometry-optimized DyErSn2 structure from Alexandria via LeMat-Bulk. Energies are from GGA-PBE.

Calculated values
ΔE_f in eV/atom: -0.515
Size of the total moment in μB per formula unit: 0.00
Energy in eV/cell: -19.23
Crystal system: trigonal

Cell: 3.833 3.833 9.191 Å, 77.96 77.96 60.00°
Atoms (fractional coordinates):
Sn  0.251  0.251  0.248
Sn  0.749  0.749  0.752
Dy  0.500  0.500  0.500
Er  0.000  0.000  0.000

---

[7]
Here is a geometry-optimized Dy2ErSn structure from Alexandria via LeMat-Bulk. Energies are from GGA-PBE.

Calculated values
ΔE_f in eV/atom: -0.412
Size of the total moment in μB per formula unit: 0.00
Energy in eV/cell: -19.42
Crystal system: tetragonal

Cell: 4.794 4.788 4.788 Å, 90.00 90.00 90.00°
Atoms (fractional coordinates):
Dy  0.000  0.500  0.000
Dy  0.000  0.000  0.500
Er  0.500  0.000  0.000
Sn  0.500  0.500  0.500

---

[8]
Here is a geometry-optimized DyErSn2 structure from Alexandria via LeMat-Bulk. Energies are from GGA-PBE.

Calculated values
ΔE_f in eV/atom: -0.600
Size of the total moment in μB per formula unit: 0.00
Energy in eV/cell: -19.57
Crystal system: tetragonal

Cell: 4.388 4.883 4.883 Å, 90.00 90.00 90.00°
Atoms (fractional coordinates):
Er  0.500  0.000  0.000
Sn  0.000  0.000  0.500
Sn  0.000  0.500  0.000
Dy  0.500  0.500  0.500

---

[9]
Here is a geometry-optimized Dy4Er3Sn4 structure from Alexandria via LeMat-Bulk. Energies are from GGA-PBE.

Calculated values
ΔE_f in eV/atom: -0.511
Size of the total moment in μB per formula unit: 0.04
Energy in eV/cell: -53.73
Crystal system: orthorhombic

Cell: 3.520 9.510 10.597 Å, 116.66 99.56 90.00°
Atoms (fractional coordinates):
Sn  0.500  0.780  0.000
Sn  0.500  0.220  0.000
Sn  0.728  0.228  0.457
Sn  0.272  0.772  0.543
Dy  0.663  0.482  0.326
Dy  0.337  0.518  0.674
Dy  0.663  0.844  0.326
Dy  0.337  0.156  0.674
Er  0.907  0.907  0.815
Er  0.093  0.093  0.185
Er  0.000  0.500  0.000

---

[10]
Here is a geometry-optimized Dy2Er3Sn2 structure from Alexandria via LeMat-Bulk. Energies are from GGA-PBE.

Calculated values
ΔE_f in eV/atom: -0.448
Size of the total moment in μB per formula unit: 0.00
Energy in eV/cell: -34.03
Crystal system: monoclinic

Cell: 4.442 6.273 8.402 Å, 108.21 90.00 110.74°
Atoms (fractional coordinates):
Er  0.626  0.252  0.437
Er  0.500  0.000  0.000
Er  0.374  0.748  0.563
Sn  0.173  0.345  0.196
Sn  0.827  0.655  0.804
Dy  0.133  0.266  0.783
Dy  0.867  0.734  0.217

---

[11]
Here is a geometry-optimized Dy3Er2Sn2 structure from Alexandria via LeMat-Bulk. Energies are from GGA-PBE.

Calculated values
ΔE_f in eV/atom: -0.253
Size of the total moment in μB per formula unit: 0.56
Energy in eV/cell: -32.71
Crystal system: monoclinic

Cell: 3.475 7.854 8.770 Å, 119.03 101.43 90.00°
Each line ends with the local moment (μB).
Atoms (fractional coordinates):
Sn  0.421  0.109  0.843  0.00
Sn  0.579  0.891  0.157  0.00
Dy  0.787  0.222  0.573  0.13
Dy  0.000  0.500  0.000  0.18
Dy  0.213  0.778  0.427  0.13
Er  0.881  0.733  0.762  0.01
Er  0.119  0.267  0.238  0.01

---

[12]
Here is a geometry-optimized Dy3ErSn structure from Alexandria via LeMat-Bulk. Energies are from GGA-PBE.

Calculated values
ΔE_f in eV/atom: 0.116
Size of the total moment in μB per formula unit: 0.02
Energy in eV/cell: -43.58
Crystal system: orthorhombic

Cell: 7.811 7.811 7.811 Å, 86.86 115.50 128.63°
Atoms (fractional coordinates):
Er  0.526  0.026  0.000
Er  0.026  0.526  0.000
Dy  0.960  0.782  0.678
Dy  0.035  0.254  0.719
Dy  0.535  0.754  0.718
Dy  0.035  0.817  0.282
Dy  0.104  0.282  0.322
Dy  0.535  0.317  0.281
Sn  0.467  0.280  0.687
Sn  0.594  0.780  0.313

---

Which value of energy does entry 11 give?
-32.71 eV/cell

---

Which value of size of the total moment does entry 4 give?
0.00 μB per formula unit

---

Copy entry 11 word for word.
Here is a geometry-optimized Dy3Er2Sn2 structure from Alexandria via LeMat-Bulk. Energies are from GGA-PBE.

Calculated values
ΔE_f in eV/atom: -0.253
Size of the total moment in μB per formula unit: 0.56
Energy in eV/cell: -32.71
Crystal system: monoclinic

Cell: 3.475 7.854 8.770 Å, 119.03 101.43 90.00°
Each line ends with the local moment (μB).
Atoms (fractional coordinates):
Sn  0.421  0.109  0.843  0.00
Sn  0.579  0.891  0.157  0.00
Dy  0.787  0.222  0.573  0.13
Dy  0.000  0.500  0.000  0.18
Dy  0.213  0.778  0.427  0.13
Er  0.881  0.733  0.762  0.01
Er  0.119  0.267  0.238  0.01